# 1
# SmY2Al2Ga2

A relaxed structure of SmY2Al2Ga2 (PBE, Alexandria).

**Energy relative to the elements**: -0.42 eV per atom
**Electronic total energy**: -4.88 eV per atom
**Spin magnetization**: 0.00 μB/f.u.

Unit cell a=4.264 b=4.264 c=11.216 alpha=79.04 beta=79.04 gamma=60.00
Positions (direct):
Y (0.125, 0.125, 0.624)
Y (0.875, 0.875, 0.376)
Al (0.607, 0.607, 0.180)
Al (0.393, 0.393, 0.820)
Ga (0.262, 0.262, 0.215)
Ga (0.738, 0.738, 0.785)
Sm (0.000, 0.000, 0.000)


# 2
# SmAlZn2Ga

A relaxed structure of SmAlZn2Ga (PBE, Alexandria).

**Energy relative to the elements**: -0.45 eV per atom
**Electronic total energy**: -3.26 eV per atom
**Spin magnetization**: 0.00 μB/f.u.

Unit cell a=4.144 b=4.158 c=6.225 alpha=109.51 beta=109.44 gamma=90.00
Positions (direct):
Zn (0.056, 0.056, 0.112)
Zn (0.692, 0.192, 0.384)
Ga (0.834, 0.834, 0.668)
Al (0.191, 0.691, 0.381)
Sm (0.439, 0.439, 0.879)


# 3
# Sm3AlZn6Ga2

A relaxed structure of Sm3AlZn6Ga2 (PBE, Alexandria).

**Energy relative to the elements**: -0.20 eV per atom
**Electronic total energy**: -2.83 eV per atom
**Spin magnetization**: 0.00 μB/f.u.

Unit cell a=5.898 b=5.898 c=8.299 alpha=90.00 beta=90.00 gamma=120.00
Positions (direct):
Zn (0.184, 0.368, 0.281)
Zn (0.816, 0.184, 0.719)
Zn (0.816, 0.632, 0.719)
Zn (0.368, 0.184, 0.719)
Zn (0.632, 0.816, 0.281)
Zn (0.184, 0.816, 0.281)
Sm (0.000, 0.000, 0.000)
Sm (0.333, 0.667, 0.624)
Sm (0.667, 0.333, 0.376)
Ga (0.333, 0.667, 0.998)
Ga (0.667, 0.333, 0.002)
Al (0.000, 0.000, 0.500)